Material: NaAsI3
Method: DFT, PBE
State: optimized geometry

The structure belongs to space group P1 (No. 1); the cell edges are 6.303, 6.308 and 10.808 Å and the angles 90.05°, 90.05° and 91.76°. The asymmetric unit holds Na at (0.000, 0.000, 0.000), Na at (0.493, 0.491, 0.000), As at (0.176, 0.317, 0.400), As at (0.317, 0.176, 0.601), I at (0.096, 0.938, 0.310), I at (0.396, 0.555, 0.691), I at (0.499, 0.992, 0.936), I at (0.555, 0.396, 0.311), I at (0.937, 0.096, 0.690) and I at (0.993, 0.499, 0.065).

The electronic total energy comes out at -2.687 eV per atom. The value obtained for the relative energy among the computed polymorphs is 0.000 eV/atom. The formation energy without anion corrections comes out at -563 meV per atom.



Material: NaAsI3
Method: DFT, PBE
State: optimized geometry

The structure belongs to space group Pm-3m (No. 221); the cell edges are 5.888, 5.888 and 5.888 Å and the angles 90.00°, 90.00° and 90.00°. The asymmetric unit holds Na at (0.000, 0.000, 0.000), As at (0.500, 0.500, 0.500) and I at (0.000, 0.000, 0.500).

The electronic total energy comes out at -1.811 eV per atom. The value obtained for the relative energy among the computed polymorphs is 0.876 eV/atom. The formation energy without anion corrections comes out at 313 meV per atom.



Material: Na2As2I
Method: DFT, PBE
State: optimized geometry

The structure belongs to space group I4/mmm (No. 139); the cell edges are 5.819, 5.819 and 9.532 Å and the angles 90.00°, 90.00° and 90.00°. The asymmetric unit holds Na at (0.000, 0.500, 0.250), As at (0.000, 0.000, 0.116) and I at (0.000, 0.000, 0.500).

The electronic total energy comes out at -2.963 eV per atom. The value obtained for the relative energy among the computed polymorphs is 0.125 eV/atom. The formation energy without anion corrections comes out at -265 meV per atom.



Material: Na4AsI2
Method: DFT, PBE
State: optimized geometry

The structure belongs to space group I4/mmm (No. 139); the cell edges are 5.598, 5.598 and 16.523 Å and the angles 90.00°, 90.00° and 90.00°. The asymmetric unit holds Na at (0.000, 0.000, 0.172), Na at (0.000, 0.500, 0.000), As at (0.000, 0.000, 0.000) and I at (0.000, 0.000, 0.356).

The electronic total energy comes out at -2.534 eV per atom. The formation energy without anion corrections comes out at -673 meV per atom.



Material: NaAsI3
Method: DFT, PBE
State: optimized geometry

The structure belongs to space group Pm-3m (No. 221); the cell edges are 5.819, 5.819 and 5.819 Å and the angles 90.00°, 90.00° and 90.00°. The asymmetric unit holds Na at (0.000, 0.000, 0.000), As at (0.500, 0.500, 0.500) and I at (0.000, 0.500, 0.500).

The electronic total energy comes out at -2.501 eV per atom. The value obtained for the relative energy among the computed polymorphs is 0.186 eV/atom. The formation energy without anion corrections comes out at -377 meV per atom.



Material: Na3As5I12
Method: DFT, PBE
State: optimized geometry

The structure belongs to space group Ia-3d (No. 230); the cell edges are 19.305, 19.305 and 19.305 Å and the angles 90.00°, 90.00° and 90.00°. The asymmetric unit holds Na at (0.000, 0.250, 0.125), As at (0.000, 0.000, 0.000), As at (0.000, 0.250, 0.375) and I at (0.031, 0.042, 0.645).

The electronic total energy comes out at -2.440 eV per atom. The formation energy without anion corrections comes out at -150 meV per atom.



Material: NaAsI2O
Method: DFT, PBE
State: optimized geometry

The structure belongs to space group P4/mmm (No. 123); the cell edges are 5.684, 5.684 and 4.100 Å and the angles 90.00°, 90.00° and 90.00°. The asymmetric unit holds Na at (0.000, 0.000, 0.000), As at (0.500, 0.500, 0.500), I at (0.000, 0.500, 0.000) and O at (0.000, 0.000, 0.500).

The electronic total energy comes out at -2.334 eV per atom. The value obtained for the relative energy among the computed polymorphs is 1.097 eV/atom. The formation energy without anion corrections comes out at 471 meV per atom.



Material: NaAsIO2
Method: DFT, PBE
State: optimized geometry

The structure belongs to space group P4/mmm (No. 123); the cell edges are 4.351, 4.351 and 5.987 Å and the angles 90.00°, 90.00° and 90.00°. The asymmetric unit holds Na at (0.000, 0.000, 0.000), As at (0.500, 0.500, 0.500), I at (0.000, 0.000, 0.500) and O at (0.000, 0.500, 0.000).

The electronic total energy comes out at -2.896 eV per atom. The value obtained for the relative energy among the computed polymorphs is 1.636 eV/atom. The formation energy without anion corrections comes out at 591 meV per atom.



Material: NaAsIO6
Method: DFT, PBE
State: optimized geometry

The structure belongs to space group P-31c (No. 163); the cell edges are 5.1870, 5.1870 and 10.5650 Å and the angles 90.00°, 90.00° and 120.00°. The asymmetric unit holds Na at (0.0000, 0.0000, 0.0000), As at (0.3333, 0.6667, 0.2500), I at (0.3333, 0.6667, 0.7500) and O at (0.0219, 0.3904, 0.1470).

The electronic total energy comes out at -4.982 eV per atom. The formation energy without anion corrections comes out at -841 meV per atom.



Material: NaAsIO2
Method: DFT, PBE
State: optimized geometry

The structure belongs to space group Cmcm (No. 63); the cell edges are 5.587, 14.908 and 5.177 Å and the angles 90.00°, 90.00° and 90.00°. The asymmetric unit holds Na at (0.000, 0.085, 0.250), As at (0.000, 0.453, 0.250), I at (0.000, 0.247, 0.750) and O at (0.214, 0.500, 0.000).

The electronic total energy comes out at -4.532 eV per atom. The value obtained for the relative energy among the computed polymorphs is 0.000 eV/atom. The formation energy without anion corrections comes out at -1045 meV per atom.



Material: NaAs4IO6
Method: DFT, PBE
State: optimized geometry

The structure belongs to space group P6/mmm (No. 191); the cell edges are 5.3461, 5.3461 and 9.3040 Å and the angles 90.00°, 90.00° and 120.00°. The asymmetric unit holds Na at (0.0000, 0.0000, 0.0000), As at (0.3333, 0.6667, 0.2810), I at (0.0000, 0.0000, 0.5000) and O at (0.0000, 0.5000, 0.1734).

The electronic total energy comes out at -5.483 eV per atom. The formation energy without anion corrections comes out at -1215 meV per atom.



Material: NaAsI2O
Method: DFT, PBE
State: optimized geometry

The structure belongs to space group P4/mmm (No. 123); the cell edges are 5.940, 5.940 and 3.882 Å and the angles 90.00°, 90.00° and 90.00°. The asymmetric unit holds Na at (0.000, 0.000, 0.000), As at (0.500, 0.500, 0.500), I at (0.000, 0.500, 0.500) and O at (0.500, 0.500, 0.000).

The electronic total energy comes out at -3.431 eV per atom. The value obtained for the relative energy among the computed polymorphs is 0.000 eV/atom. The formation energy without anion corrections comes out at -626 meV per atom.



Material: NaAsIO2
Method: DFT, PBE
State: optimized geometry

The structure belongs to space group P4/mmm (No. 123); the cell edges are 3.952, 3.952 and 6.191 Å and the angles 90.00°, 90.00° and 90.00°. The asymmetric unit holds Na at (0.000, 0.000, 0.000), As at (0.500, 0.500, 0.500), I at (0.500, 0.500, 0.000) and O at (0.000, 0.500, 0.500).

The electronic total energy comes out at -4.100 eV per atom. The value obtained for the relative energy among the computed polymorphs is 0.433 eV/atom. The formation energy without anion corrections comes out at -613 meV per atom.



Material: Na2AsIO
Method: DFT, PBE
State: optimized geometry

The structure belongs to space group P4/mmm (No. 123); the cell edges are 5.973, 5.973 and 4.072 Å and the angles 90.00°, 90.00° and 90.00°. The asymmetric unit holds Na at (0.000, 0.500, 0.000), As at (0.000, 0.000, 0.500), I at (0.500, 0.500, 0.000) and O at (0.500, 0.500, 0.500).

The electronic total energy comes out at -2.769 eV per atom. The formation energy without anion corrections comes out at -10 meV per atom.



Material: Na2AsPbI
Method: DFT, PBE
State: optimized geometry

The structure belongs to space group P4/mmm (No. 123); the cell edges are 5.530, 5.530 and 6.108 Å and the angles 90.00°, 90.00° and 90.00°. The asymmetric unit holds Na at (0.000, 0.500, 0.000), As at (0.000, 0.000, 0.500), Pb at (0.500, 0.500, 0.500) and I at (0.000, 0.000, 0.000).

The electronic total energy comes out at -2.368 eV per atom. The formation energy without anion corrections comes out at 141 meV per atom.



Material: RbNa2AsI6
Method: DFT, PBE
State: optimized geometry

The structure belongs to space group R3 (No. 146, hexagonal axes); the cell edges are 8.1284, 8.1284 and 22.3047 Å and the angles 90.00°, 90.00° and 120.00°. The asymmetric unit holds Rb at (0.0000, 0.0000, 0.0000), Na at (0.0000, 0.0000, 0.2878), Na at (0.0000, 0.0000, 0.8131), As at (0.0000, 0.0000, 0.4777), I at (0.9998, 0.3026, 0.5529) and I at (0.0299, 0.6135, 0.0666).

The electronic total energy comes out at -2.587 eV per atom. The formation energy without anion corrections comes out at -831 meV per atom.



Material: Na2AsRhI
Method: DFT, PBE
State: optimized geometry

The structure belongs to space group P4/mmm (No. 123); the cell edges are 5.524, 5.524 and 5.677 Å and the angles 90.00°, 90.00° and 90.00°. The asymmetric unit holds Na at (0.000, 0.500, 0.000), As at (0.000, 0.000, 0.500), Rh at (0.500, 0.500, 0.500) and I at (0.000, 0.000, 0.000).

The electronic total energy comes out at -2.459 eV per atom. The formation energy without anion corrections comes out at 779 meV per atom.



Material: NaSb2AsI
Method: DFT, PBE
State: optimized geometry

The structure belongs to space group P4/mmm (No. 123); the cell edges are 5.568, 5.568 and 5.454 Å and the angles 90.00°, 90.00° and 90.00°. The asymmetric unit holds Na at (0.000, 0.000, 0.000), Sb at (0.000, 0.500, 0.000), As at (0.500, 0.500, 0.500) and I at (0.000, 0.000, 0.500).

The electronic total energy comes out at -2.242 eV per atom. The value obtained for the relative energy among the computed polymorphs is 0.665 eV/atom. The formation energy without anion corrections comes out at 911 meV per atom.



Material: NaSb2AsI
Method: DFT, PBE
State: optimized geometry

The structure belongs to space group P4/mmm (No. 123); the cell edges are 5.235, 5.235 and 8.943 Å and the angles 90.00°, 90.00° and 90.00°. The asymmetric unit holds Na at (0.000, 0.000, 0.000), Sb at (0.000, 0.500, 0.500), As at (0.500, 0.500, 0.500) and I at (0.500, 0.500, 0.000).

The electronic total energy comes out at -2.907 eV per atom. The value obtained for the relative energy among the computed polymorphs is 0.000 eV/atom. The formation energy without anion corrections comes out at 246 meV per atom.



Material: NaAs2SeI
Method: DFT, PBE
State: optimized geometry

The structure belongs to space group P4/mmm (No. 123); the cell edges are 5.482, 5.482 and 5.550 Å and the angles 90.00°, 90.00° and 90.00°. The asymmetric unit holds Na at (0.000, 0.000, 0.000), As at (0.000, 0.500, 0.500), Se at (0.500, 0.500, 0.000) and I at (0.500, 0.500, 0.500).

The electronic total energy comes out at -2.440 eV per atom. The value obtained for the relative energy among the computed polymorphs is 0.000 eV/atom. The formation energy without anion corrections comes out at 691 meV per atom.



Material: NaAs2SeI
Method: DFT, PBE
State: optimized geometry

The structure belongs to space group P4/mmm (No. 123); the cell edges are 5.328, 5.328 and 4.965 Å and the angles 90.00°, 90.00° and 90.00°. The asymmetric unit holds Na at (0.000, 0.000, 0.000), As at (0.000, 0.500, 0.000), Se at (0.000, 0.000, 0.500) and I at (0.500, 0.500, 0.500).

The electronic total energy comes out at -2.194 eV per atom. The value obtained for the relative energy among the computed polymorphs is 0.246 eV/atom. The formation energy without anion corrections comes out at 937 meV per atom.



Material: NaSiAsI2
Method: DFT, PBE
State: optimized geometry

The structure belongs to space group P4/mmm (No. 123); the cell edges are 6.145, 6.145 and 4.727 Å and the angles 90.00°, 90.00° and 90.00°. The asymmetric unit holds Na at (0.000, 0.000, 0.000), Si at (0.500, 0.500, 0.000), As at (0.500, 0.500, 0.500) and I at (0.000, 0.500, 0.500).

The electronic total energy comes out at -2.777 eV per atom. The formation energy without anion corrections comes out at 122 meV per atom.